No. 1
First-principles (PBE-GGA) data for a relaxed structure of PmPr2Pt, as listed in Alexandria via LeMat-Bulk.

Geometry as POSCAR:
```
PmPr2Pt
1.0
2.021 1.167 9.429
-2.021 1.167 9.429
0.000 -2.334 9.429
Pm Pr Pt
1 2 1
direct
0.000 0.000 0.000
0.229 0.229 0.229
0.439 0.439 0.439
0.834 0.834 0.834
```

Values from the calculation:
The total magnetic moment comes out at 0.00 μB per formula unit. For the excess energy over the best structure of this formula in the dataset, the calculation gives 177 meV per atom. For the final energy, the calculation gives -5.5241 eV per atom. Its mass density is 7.7 Mg/m³. The formation energy comes out at -42 kJ per mole of atoms.

=====

No. 2
First-principles (PBE-GGA) data for a relaxed structure of FeSiOs2Pt, as listed in Alexandria via LeMat-Bulk.

Geometry as POSCAR:
```
FeSiOs2Pt
1.0
4.805 0.000 0.000
0.000 4.805 0.000
0.000 0.000 4.382
Fe Si Os Pt
1 1 2 1
direct
0.000 0.000 0.000
0.500 0.500 0.000
0.000 0.500 0.500
0.500 0.000 0.500
0.500 0.500 0.500
```

Values from the calculation:
The total magnetic moment comes out at 0.30 μB per formula unit. For the final energy, the calculation gives -6.0834 eV per atom. Its mass density is 10.8 Mg/m³. For the uncorrected formation energy, the calculation gives 2.39 eV per atom.

=====

No. 3
First-principles (PBE-GGA) data for a relaxed structure of UGaGeO6, as listed in Alexandria via LeMat-Bulk.

Geometry as POSCAR:
```
UGaGeO6
1.0
5.191 0.000 0.000
-2.595 4.495 0.000
0.000 0.000 8.784
U Ga Ge O
2 2 2 12
direct
0.333 0.667 0.250
0.667 0.333 0.750
0.333 0.667 0.750
0.667 0.333 0.250
0.000 0.000 0.000
0.000 0.000 0.500
0.018 0.325 0.623
0.018 0.693 0.877
0.307 0.325 0.877
0.307 0.982 0.623
0.325 0.018 0.123
0.325 0.307 0.377
0.675 0.693 0.623
0.675 0.982 0.877
0.693 0.018 0.377
0.693 0.675 0.123
0.982 0.307 0.123
0.982 0.675 0.377
```

Values from the calculation:
The total magnetic moment comes out at 0.99 μB per formula unit. For the final energy, the calculation gives -7.4766 eV per atom. Its mass density is 7.7 Mg/m³. For the uncorrected formation energy, the calculation gives -2.07 eV per atom.

=====

No. 4
First-principles (PBE-GGA) data for a relaxed structure of PmDyCoI, as listed in Alexandria via LeMat-Bulk.

Geometry as POSCAR:
```
PmDyCoI
1.0
1.993 1.150 7.984
-1.993 1.150 7.984
0.000 -2.301 7.984
Pm Dy Co I
1 1 1 1
direct
0.000 0.000 0.000
0.787 0.787 0.787
0.395 0.395 0.395
0.224 0.224 0.224
```

Values from the calculation:
The total magnetic moment comes out at 0.00 μB per formula unit. For the final energy, the calculation gives -5.0724 eV per atom. Its mass density is 7.5 Mg/m³. For the uncorrected formation energy, the calculation gives -0.57 eV per atom.

=====

No. 5
First-principles (PBE-GGA) data for a relaxed structure of Pm5Y2Sc, as listed in Alexandria via LeMat-Bulk.

Geometry as POSCAR:
```
Pm5Y2Sc
1.0
0.000 5.741 6.301
3.643 0.000 6.301
3.643 5.741 0.000
Pm Y Sc
5 2 1
direct
0.000 0.000 0.000
0.001 0.492 0.999
0.415 0.415 0.085
0.492 0.001 0.508
0.915 0.915 0.585
0.418 0.906 0.094
0.906 0.418 0.582
0.498 0.498 0.502
```

Values from the calculation:
The total magnetic moment comes out at 0.00 μB per formula unit. For the excess energy over the best structure of this formula in the dataset, the calculation gives 0 meV per atom. For the final energy, the calculation gives -5.3433 eV per atom. Its mass density is 6.0 Mg/m³. The formation energy comes out at 3 kJ per mole of atoms.

=====

No. 6
First-principles (PBE-GGA) data for a relaxed structure of K2Cd2S3, as listed in Alexandria via LeMat-Bulk.

Geometry as POSCAR:
```
K2Cd2S3
1.0
7.265 -2.136 0.000
7.265 2.136 0.000
-3.886 0.000 6.589
K Cd S
2 2 3
direct
0.088 0.088 0.326
0.912 0.912 0.674
0.315 0.315 0.194
0.685 0.685 0.806
0.296 0.296 0.832
0.500 0.500 0.500
0.704 0.704 0.168
```

Values from the calculation:
The total magnetic moment comes out at 0.00 μB per formula unit. For the excess energy over the best structure of this formula in the dataset, the calculation gives 26 meV per atom. For the final energy, the calculation gives -3.2223 eV per atom. Its mass density is 3.2 Mg/m³. For the uncorrected formation energy, the calculation gives -0.88 eV per atom.

=====

> The highest total magnetic moment belongs to which entry?

UGaGeO6

=====

> Which of these has the highest final energy?

K2Cd2S3